Density functional theory data (PBE) for an optimized crystal structure of BaCa2GaIr.

Cell lengths 5.5594, 5.5594, 5.0099 Å; angles 90.00, 90.00, 90.00 degrees
Closest atoms and distances in Å follow each position.
Fractional coordinates of all 5 atoms:
Ba 0.0000 0.0000 0.0000  8 Ca 3.74, 4 Ga 3.93
Ca 0.0000 0.5000 0.5000  2 Ir 2.78
Ca 0.5000 0.0000 0.5000  2 Ir 2.78
Ga 0.5000 0.5000 0.0000  2 Ir 2.50
Ir 0.5000 0.5000 0.5000  2 Ga 2.50, 4 Ca 2.78

Crystal system ... tetragonal
DFT total energy ... -3.847 eV/atom

Density functional theory data (PBE) for an optimized crystal structure of Rb2TlSi2O6.

Cell lengths 7.3153, 7.3153, 7.3153 Å; angles 48.76, 48.76, 48.76 degrees
Closest atoms and distances in Å follow each position.
Fractional coordinates of all 11 atoms:
Rb 0.2056 0.2056 0.2056  9 O 3.04-3.15
Rb 0.7944 0.7944 0.7944  9 O 3.04-3.15
Tl 0.0000 0.0000 0.0000  6 O 2.47
Si 0.4149 0.4149 0.4149  3 O 1.59
Si 0.5851 0.5851 0.5851  3 O 1.59
O 0.2630 0.2630 0.7201  1 Si 1.59
O 0.2630 0.7201 0.2630  1 Si 1.59
O 0.2799 0.7370 0.7370  1 Si 1.59
O 0.7201 0.2630 0.2630  1 Si 1.59
O 0.7370 0.2799 0.7370  1 Si 1.59
O 0.7370 0.7370 0.2799  1 Si 1.59

Crystal system ... trigonal
Raw formation energy ... -20.29 eV per formula unit

Density functional theory data (PBE) for an optimized crystal structure of La4GeOsBr2.

Cell lengths 7.5968, 4.2931, 8.0381 Å; angles 90.00, 107.06, 90.00 degrees
Closest atoms and distances in Å follow each position.
Fractional coordinates of all 8 atoms:
La 0.2231 0.0000 0.2027  2 Os 2.92, 1 Ge 3.02
La 0.2410 0.5000 0.8022  1 Os 2.75, 2 Ge 3.03
La 0.7590 0.5000 0.1978  1 Os 2.75, 2 Ge 3.03
La 0.7769 0.0000 0.7973  2 Os 2.92, 1 Ge 3.02
Ge 0.5000 0.0000 0.0000  6 La 3.02-3.03
Os 0.0000 0.5000 0.0000  6 La 2.75-2.92
Br 0.0000 0.0000 0.5000  6 La 3.31-3.35
Br 0.5000 0.5000 0.5000  6 La 3.43-3.55

Crystal system ... monoclinic
Raw formation energy ... -8.26 eV per formula unit

| no. | N(E_F) (states/eV per cell) |
| --- | --- |
| 1 | 3.8 |
| 2 | 1.7 |
| 3 | 5.0 |